Entry 1:
## Mn2OsPb (PBE-GGA)

Data for an optimized crystal structure of Mn2OsPb.

Values from the calculation:
DFT formation energy in eV per atom: 0.51
M_tot in μB/f.u.: 5.7
Crystal system: tetragonal

abc: 2.9828 2.9828 7.7014
angles: 90.00 90.00 90.00
Closest atoms and distances in Å follow each position.
Space group P4mm (No. 99)
Unique sites:
Mn  0.0000  0.0000  0.0000  4 Mn 2.65, 1 Os 2.96
Mn  0.5000  0.5000  0.2083  4 Os 2.51, 4 Mn 2.65
Os  0.0000  0.0000  0.3842  4 Mn 2.51
Pb  0.5000  0.5000  0.6771  4 Pb 2.98, 4 Os 3.09, 4 Mn 3.26



Entry 2:
## MnOs2Pb (PBE-GGA)

Data for an optimized crystal structure of MnOs2Pb.

Values from the calculation:
DFT formation energy in eV per atom: 0.68
M_tot in μB/f.u.: 2.9
Crystal system: monoclinic

abc: 9.1246 2.9960 4.9767
angles: 90.00 100.58 90.00
Closest atoms and distances in Å follow each position.
Space group Cm (No. 8)
Unique sites:
Mn  0.0000  0.0000  0.0000  5 Os 2.54-2.78, 1 Pb 2.78
Os  0.0197  0.5000  0.5957  2 Mn 2.54, 3 Os 2.65-2.71
Os  0.2572  0.0000  0.7765  3 Os 2.65-2.71, 3 Mn 2.74-2.78, 4 Pb 2.90-2.91
Pb  0.2608  0.5000  0.2761  3 Mn 2.78-2.93, 7 Os 2.90-3.00, 2 Pb 3.00



Entry 3:
## Mn2OsPb (PBE-GGA)

Data for an optimized crystal structure of Mn2OsPb.

Values from the calculation:
DFT formation energy in eV per atom: 0.53
M_tot in μB/f.u.: 5.4
Crystal system: monoclinic

abc: 8.8685 3.0033 4.9637
angles: 90.00 100.12 90.00
Closest atoms and distances in Å follow each position.
Space group Cm (No. 8)
Unique sites:
Mn  0.0000  0.0000  0.0000  3 Os 2.60-2.67, 3 Mn 2.63-2.75, 2 Pb 2.89
Mn  0.2486  0.0000  0.7804  2 Os 2.52, 3 Mn 2.63-2.75, 1 Pb 2.76
Os  0.2347  0.5000  0.1840  5 Mn 2.52-2.67
Pb  0.4918  0.0000  0.5004  7 Mn 2.76-2.91, 3 Os 2.88-2.94, 2 Pb 3.00



Entry 4:
## MnOs2Pb (PBE-GGA)

Data for an optimized crystal structure of MnOs2Pb.

Values from the calculation:
DFT formation energy in eV per atom: 0.76
M_tot in μB/f.u.: 3.4
Crystal system: monoclinic

abc: 2.9150 4.4369 5.3203
angles: 90.00 91.73 90.00
Closest atoms and distances in Å follow each position.
Space group P2/m (No. 10)
Unique sites:
Mn  0.0000  0.0000  0.0000  4 Os 2.60, 2 Mn 2.91
Os  0.2714  0.5000  0.7956  2 Os 2.52-2.73, 2 Mn 2.60, 2 Pb 2.81
Pb  0.5000  0.0000  0.5000  4 Os 2.81, 2 Pb 2.91, 4 Mn 2.99-3.07



Entry 5:
## MnOs2Pb (PBE-GGA)

Data for an optimized crystal structure of MnOs2Pb.

Values from the calculation:
DFT formation energy in eV per atom: 0.63
M_tot in μB/f.u.: 2.3
Crystal system: tetragonal

abc: 3.0797 3.0797 6.9105
angles: 90.00 90.00 90.00
Closest atoms and distances in Å follow each position.
Space group P4/mmm (No. 123)
Unique sites:
Mn  0.0000  0.0000  0.0000  8 Os 2.58
Os  0.5000  0.5000  0.2005  4 Mn 2.58, 1 Os 2.77
Pb  0.0000  0.0000  0.5000  8 Os 3.00, 4 Pb 3.08



Entry 6:
## Mn2OsPb (PBE-GGA)

Data for an optimized crystal structure of Mn2OsPb.

Values from the calculation:
DFT formation energy in eV per atom: 0.57
M_tot in μB/f.u.: 7.3
Crystal system: trigonal

abc: 3.0345 3.0345 26.8656
angles: 90.00 90.00 120.00
Closest atoms and distances in Å follow each position.
Space group R-3m (No. 166, hexagonal axes)
Unique sites:
Mn  0.0000  0.0000  0.2385  3 Os 2.61
Os  0.0000  0.0000  0.5000  6 Mn 2.61
Pb  0.0000  0.0000  0.0000  6 Pb 3.03, 6 Mn 3.09



Entry 7:
## MnOs4Pb (PBE-GGA)

Data for an optimized crystal structure of MnOs4Pb.

Values from the calculation:
DFT formation energy in eV per atom: 0.86
M_tot in μB/f.u.: 3.0
Crystal system: cubic

abc: 7.4430 7.4430 7.4430
angles: 90.00 90.00 90.00
Closest atoms and distances in Å follow each position.
Space group F-43m (No. 216)
Unique sites:
Mn  0.0000  0.0000  0.0000  12 Os 3.08, 4 Pb 3.22
Os  0.1255  0.1255  0.6255  6 Os 2.62-2.64
Pb  0.2500  0.2500  0.2500  12 Os 3.09, 4 Mn 3.22



Entry 8:
## MnOs2Pb (PBE-GGA)

Data for an optimized crystal structure of MnOs2Pb.

Values from the calculation:
DFT formation energy in eV per atom: 0.72
M_tot in μB/f.u.: 3.0
Crystal system: orthorhombic

abc: 2.8938 4.6153 9.8833
angles: 90.00 90.00 90.00
Closest atoms and distances in Å follow each position.
Space group Immm (No. 71)
Unique sites:
Mn  0.0000  0.0000  0.0000  4 Os 2.59, 4 Pb 2.72, 2 Mn 2.89
Os  0.0000  0.5000  0.2826  2 Mn 2.59, 6 Os 2.80-2.89
Pb  0.0000  0.0000  0.5000  4 Mn 2.72, 2 Pb 2.89



Entry 9:
## MnOsPb4 (PBE-GGA)

Data for an optimized crystal structure of MnOsPb4.

Values from the calculation:
DFT formation energy in eV per atom: 1.31
M_tot in μB/f.u.: 5.3
Crystal system: cubic

abc: 8.7176 8.7176 8.7176
angles: 90.00 90.00 90.00
Closest atoms and distances in Å follow each position.
Space group F-43m (No. 216)
Unique sites:
Mn  0.0000  0.0000  0.0000  12 Pb 3.62, 4 Os 3.77
Os  0.2500  0.2500  0.7500  12 Pb 3.61, 4 Mn 3.77
Pb  0.1244  0.1244  0.3756  6 Pb 3.07-3.10



Entry 10:
## Mn2OsPb (PBE-GGA)

Data for an optimized crystal structure of Mn2OsPb.

Values from the calculation:
DFT formation energy in eV per atom: 0.55
M_tot in μB/f.u.: 7.8
Crystal system: tetragonal

abc: 4.2129 4.2129 3.6960
angles: 90.00 90.00 90.00
Closest atoms and distances in Å follow each position.
Space group P4/mmm (No. 123)
Unique sites:
Mn  0.0000  0.5000  0.0000  4 Pb 2.80, 4 Os 2.80, 4 Mn 2.98
Os  0.0000  0.0000  0.5000  8 Mn 2.80, 4 Pb 2.98
Pb  0.5000  0.5000  0.5000  8 Mn 2.80, 4 Os 2.98



Entry 11:
## Mn4OsPb (PBE-GGA)

Data for an optimized crystal structure of Mn4OsPb.

Values from the calculation:
DFT formation energy in eV per atom: 0.51
M_tot in μB/f.u.: 7.0
Crystal system: cubic

abc: 6.9051 6.9051 6.9051
angles: 90.00 90.00 90.00
Closest atoms and distances in Å follow each position.
Space group F-43m (No. 216)
Unique sites:
Mn  0.1241  0.1241  0.1241  6 Mn 2.42-2.46
Os  0.2500  0.2500  0.7500  12 Mn 2.86, 4 Pb 2.99
Pb  0.0000  0.0000  0.5000  12 Mn 2.86, 4 Os 2.99



Entry 12:
## MnOsPb3 (PBE-GGA)

Data for an optimized crystal structure of MnOsPb3.

Values from the calculation:
DFT formation energy in eV per atom: 0.89
ΔE to the lowest computed polymorph in meV per atom: 0
M_tot in μB/f.u.: 3.9
Crystal system: cubic

abc: 5.2988 5.2988 5.2988
angles: 90.00 90.00 90.00
Closest atoms and distances in Å follow each position.
Space group Pm-3m (No. 221)
Unique sites:
Mn  0.0000  0.0000  0.0000  12 Pb 3.75
Os  0.5000  0.5000  0.5000  6 Pb 2.65
Pb  0.0000  0.5000  0.5000  2 Os 2.65